BaBeAs2O8 | PBE | relaxed

a = 4.910 Å, b = 4.974 Å, c = 7.880 Å
α = 86.55°, β = 88.07°, γ = 63.18°
Element x y z (fractional)
Ba1 0.000 0.000 0.000
Be1 0.000 0.000 0.500
As1 0.382 0.357 0.312
As2 0.618 0.643 0.688
O1 0.206 0.744 0.329
O2 0.231 0.757 0.669
O3 0.265 0.185 0.479
O4 0.327 0.294 0.109
O5 0.673 0.706 0.891
O6 0.735 0.815 0.521
O7 0.769 0.243 0.331
O8 0.794 0.256 0.671

## Properties
Magnetization, μB/atom: 0.167
Total DFT energy (no corrections), eV per atom: -6.024
E_form (uncorrected), meV/atom: -1473

Ba2BeAsO | PBE | relaxed

a = 6.786 Å, b = 4.034 Å, c = 9.338 Å
α = 90.00°, β = 109.77°, γ = 90.00°
Element x y z (fractional)
Ba1 0.207 0.250 0.393
Ba2 0.219 0.250 0.962
Ba3 0.781 0.750 0.038
Ba4 0.793 0.750 0.607
Be1 0.447 0.750 0.240
Be2 0.553 0.250 0.760
As1 0.358 0.750 0.713
As2 0.642 0.250 0.287
O1 0.206 0.750 0.178
O2 0.794 0.250 0.822

## Properties
Magnetization, μB/atom: 0.000
Total DFT energy (no corrections), eV per atom: -4.908
E_form (uncorrected), meV/atom: -1472

BaBeAs2P | PBE | relaxed

a = 5.429 Å, b = 5.429 Å, c = 4.032 Å
α = 90.00°, β = 90.00°, γ = 90.00°
Element x y z (fractional)
Ba1 0.000 0.000 0.000
Be1 0.500 0.500 0.000
As1 0.000 0.500 0.500
As2 0.500 0.000 0.500
P1 0.500 0.500 0.500

## Properties
Magnetization, μB/atom: 0.000
Calculated formation energy, kJ per mole of atoms: -1.45
Total DFT energy (no corrections), eV per atom: -4.087